(1)
# AcEr5

An optimized crystal structure of AcEr5 (PBE, Alexandria).

Values from the calculation:
Calculated density, g cm⁻³: 8.939
Raw total energy, eV per atom: -4.371
Symmetry: Cmmm
ΔH_f (0 K), eV/atom: 0.116

Cell and atoms, written as CIF:
```
data_AcEr5
_chemical_formula_sum 'Ac1 Er5'
_cell_length_a 3.8149
_cell_length_b 5.8184
_cell_length_c 9.3622
_cell_angle_alpha 108.10
_cell_angle_beta 90.00
_cell_angle_gamma 90.00
_space_group_name_H-M_alt 'P 1'
_space_group_IT_number 1
loop_
_space_group_symop_operation_xyz
'x,y,z'
loop_
_atom_site_label
_atom_site_fract_x
_atom_site_fract_y
_atom_site_fract_z
Er1 0.5000 0.1842 0.3683
Er2 0.5000 0.5000 0.0000
Er3 0.0000 0.3446 0.6892
Er4 0.5000 0.8158 0.6317
Er5 0.0000 0.6554 0.3108
Ac1 0.0000 0.0000 0.0000
```

=====

(2)
# LiZrCo

An optimized crystal structure of LiZrCo (PBE, Alexandria).

Values from the calculation:
Calculated density, g cm⁻³: 4.727
Raw total energy, eV per atom: -5.620
Symmetry: P3m1
ΔH_f (0 K), eV/atom: 0.236

Cell and atoms, written as CIF:
```
data_LiZrCo
_chemical_formula_sum 'Li1 Zr1 Co1'
_cell_length_a 3.2691
_cell_length_b 3.2691
_cell_length_c 5.9628
_cell_angle_alpha 90.00
_cell_angle_beta 90.00
_cell_angle_gamma 120.00
_space_group_name_H-M_alt 'P 1'
_space_group_IT_number 1
loop_
_space_group_symop_operation_xyz
'x,y,z'
loop_
_atom_site_label
_atom_site_fract_x
_atom_site_fract_y
_atom_site_fract_z
Li1 0.6667 0.3333 0.2854
Zr1 0.3333 0.6667 0.7270
Co1 0.0000 0.0000 0.9876
```

=====

(3)
# Sm4TmMg2

An optimized crystal structure of Sm4TmMg2 (PBE, Alexandria).

Values from the calculation:
Calculated density, g cm⁻³: 5.678
Raw total energy, eV per atom: -3.525
Symmetry: R-3m
ΔH_f (0 K), eV/atom: 0.266

Cell and atoms, written as CIF:
```
data_Sm4TmMg2
_chemical_formula_sum 'Sm4 Tm1 Mg2'
_cell_length_a 5.5810
_cell_length_b 5.5810
_cell_length_c 9.4463
_cell_angle_alpha 72.82
_cell_angle_beta 72.82
_cell_angle_gamma 60.00
_space_group_name_H-M_alt 'P 1'
_space_group_IT_number 1
loop_
_space_group_symop_operation_xyz
'x,y,z'
loop_
_atom_site_label
_atom_site_fract_x
_atom_site_fract_y
_atom_site_fract_z
Mg1 0.6212 0.6212 0.1365
Mg2 0.3788 0.3788 0.8635
Tm1 0.5000 0.5000 0.5000
Sm1 0.1307 0.1307 0.6078
Sm2 0.8693 0.8693 0.3922
Sm3 0.7428 0.7428 0.7716
Sm4 0.2572 0.2572 0.2284
```

=====

(4)
# Ho5Er6In

An optimized crystal structure of Ho5Er6In (PBE, Alexandria).

Values from the calculation:
Calculated density, g cm⁻³: 9.008
Raw total energy, eV per atom: -4.469
Symmetry: Immm
ΔH_f (0 K), eV/atom: -0.052

Cell and atoms, written as CIF:
```
data_Ho5Er6In
_chemical_formula_sum 'Ho5 Er6 In1'
_cell_length_a 4.9012
_cell_length_b 9.2383
_cell_length_c 9.2383
_cell_angle_alpha 106.95
_cell_angle_beta 105.38
_cell_angle_gamma 105.38
_space_group_name_H-M_alt 'P 1'
_space_group_IT_number 1
loop_
_space_group_symop_operation_xyz
'x,y,z'
loop_
_atom_site_label
_atom_site_fract_x
_atom_site_fract_y
_atom_site_fract_z
Ho1 0.0000 0.6630 0.3370
Ho2 0.5000 0.1670 0.8330
Ho3 0.5000 0.5000 0.5000
Ho4 0.5000 0.8330 0.1670
Ho5 0.0000 0.3370 0.6630
Er1 0.7532 0.9200 0.5865
Er2 0.7443 0.2443 0.2443
Er3 0.2468 0.4135 0.0800
Er4 0.7532 0.5865 0.9200
Er5 0.2468 0.0800 0.4135
Er6 0.2557 0.7557 0.7557
In1 0.0000 0.0000 0.0000
```

=====

(5)
# La7Co2Hg2

An optimized crystal structure of La7Co2Hg2 (PBE, Alexandria).

Values from the calculation:
Calculated density, g cm⁻³: 7.586
Raw total energy, eV per atom: -4.708
Symmetry: Imm2
ΔH_f (0 K), eV/atom: -0.225

Cell and atoms, written as CIF:
```
data_La7Co2Hg2
_chemical_formula_sum 'La7 Co2 Hg2'
_cell_length_a 3.8143
_cell_length_b 9.9300
_cell_length_c 9.9300
_cell_angle_alpha 62.99
_cell_angle_beta 78.93
_cell_angle_gamma 78.93
_space_group_name_H-M_alt 'P 1'
_space_group_IT_number 1
loop_
_space_group_symop_operation_xyz
'x,y,z'
loop_
_atom_site_label
_atom_site_fract_x
_atom_site_fract_y
_atom_site_fract_z
La1 0.1470 0.0965 0.6095
La2 0.6373 0.4700 0.2554
La3 0.8132 0.0934 0.2803
La4 0.3627 0.7446 0.5300
La5 0.5000 0.0206 0.9794
La6 0.8530 0.3905 0.9035
La7 0.1868 0.7197 0.9066
Hg1 0.0000 0.7607 0.2393
Hg2 0.5000 0.3645 0.6355
Co1 0.7302 0.8665 0.6732
Co2 0.2698 0.3268 0.1335
```

=====

(6)
# Pm8Ge3S4

An optimized crystal structure of Pm8Ge3S4 (PBE, Alexandria).

Values from the calculation:
Calculated density, g cm⁻³: 6.301
Uncorrected formation energy, eV per atom: -1.443
Raw total energy, eV per atom: -6.001
Symmetry: C2/m

Cell and atoms, written as CIF:
```
data_Pm8Ge3S4
_chemical_formula_sum 'Pm8 Ge3 S4'
_cell_length_a 8.2282
_cell_length_b 8.2550
_cell_length_c 8.2550
_cell_angle_alpha 89.96
_cell_angle_beta 119.97
_cell_angle_gamma 119.97
_space_group_name_H-M_alt 'P 1'
_space_group_IT_number 1
loop_
_space_group_symop_operation_xyz
'x,y,z'
loop_
_atom_site_label
_atom_site_fract_x
_atom_site_fract_y
_atom_site_fract_z
Pm1 0.5015 0.7526 0.7526
Pm2 0.9983 0.7523 0.7523
Pm3 0.4985 0.2474 0.2474
Pm4 0.0000 0.2476 0.7524
Pm5 0.5000 0.7512 0.2488
Pm6 0.0000 0.7524 0.2476
Pm7 0.0017 0.2477 0.2477
Pm8 0.5000 0.2488 0.7512
S1 0.0000 0.0000 0.0000
S2 0.0000 0.0000 0.5000
S3 0.0000 0.5000 0.0000
S4 0.5000 0.0000 0.0000
Ge1 0.5000 0.0000 0.5000
Ge2 0.5000 0.5000 0.5000
Ge3 0.5000 0.5000 0.0000
```

=====

(7)
# La2Pm6Y5

An optimized crystal structure of La2Pm6Y5 (PBE, Alexandria).

Values from the calculation:
Calculated density, g cm⁻³: 5.865
Raw total energy, eV per atom: -5.339
Symmetry: Pbam
ΔH_f (0 K), eV/atom: 0.098

Cell and atoms, written as CIF:
```
data_La2Pm6Y5
_chemical_formula_sum 'La4 Pm12 Y10'
_cell_length_a 3.6711
_cell_length_b 11.8754
_cell_length_c 20.6838
_cell_angle_alpha 90.00
_cell_angle_beta 90.00
_cell_angle_gamma 90.00
_space_group_name_H-M_alt 'P 1'
_space_group_IT_number 1
loop_
_space_group_symop_operation_xyz
'x,y,z'
loop_
_atom_site_label
_atom_site_fract_x
_atom_site_fract_y
_atom_site_fract_z
Y1 0.5000 0.9091 0.7815
Y2 0.5000 0.6991 0.5578
Y3 0.5000 0.1991 0.9422
Y4 0.5000 0.4091 0.7185
Y5 0.5000 0.0909 0.2185
Y6 0.5000 0.0000 0.5000
Y7 0.5000 0.3009 0.4422
Y8 0.5000 0.8009 0.0578
Y9 0.5000 0.5909 0.2815
Y10 0.5000 0.5000 0.0000
Pm1 0.0000 0.9367 0.9261
Pm2 0.5000 0.8219 0.3752
Pm3 0.0000 0.4367 0.5739
Pm4 0.5000 0.1781 0.6248
Pm5 0.0000 0.5762 0.1379
Pm6 0.5000 0.6781 0.8752
Pm7 0.0000 0.0633 0.0739
Pm8 0.0000 0.9238 0.6379
Pm9 0.0000 0.4238 0.8621
Pm10 0.0000 0.5633 0.4261
Pm11 0.0000 0.0762 0.3621
Pm12 0.5000 0.3219 0.1248
La1 0.0000 0.3293 0.2805
La2 0.0000 0.1707 0.7805
La3 0.0000 0.8293 0.2195
La4 0.0000 0.6707 0.7195
```

=====

(8)
# Li3PrGa3

An optimized crystal structure of Li3PrGa3 (PBE, Alexandria).

Values from the calculation:
Calculated density, g cm⁻³: 4.554
Raw total energy, eV per atom: -3.161
Symmetry: P2_1/m
ΔH_f (0 K), eV/atom: -0.360

Cell and atoms, written as CIF:
```
data_Li3PrGa3
_chemical_formula_sum 'Li6 Pr2 Ga6'
_cell_length_a 4.3638
_cell_length_b 6.7011
_cell_length_c 9.6199
_cell_angle_alpha 105.93
_cell_angle_beta 90.00
_cell_angle_gamma 90.00
_space_group_name_H-M_alt 'P 1'
_space_group_IT_number 1
loop_
_space_group_symop_operation_xyz
'x,y,z'
loop_
_atom_site_label
_atom_site_fract_x
_atom_site_fract_y
_atom_site_fract_z
Ga1 0.2500 0.2450 0.4484
Ga2 0.2500 0.0019 0.6251
Ga3 0.7500 0.3968 0.0517
Ga4 0.7500 0.9981 0.3749
Ga5 0.2500 0.6032 0.9483
Ga6 0.7500 0.7550 0.5516
Pr1 0.7500 0.3405 0.7016
Pr2 0.2500 0.6595 0.2984
Li1 0.7500 0.3530 0.3322
Li2 0.2500 0.0891 0.1638
Li3 0.2500 0.6470 0.6678
Li4 0.7500 0.8082 0.0880
Li5 0.2500 0.1918 0.9120
Li6 0.7500 0.9109 0.8362
```